Entry from the Alexandria database: Ba2Ga4Ge3Pd after structural relaxation (PBE).

Results
Energy in eV/cell: -39.45

Cell lengths 4.6800, 4.6800, 10.5910 Å; angles 90.00, 90.00, 90.00 degrees
With the nearest neighbours (Å) after each atom.
Positions (direct):
1 Ba 0.0000 0.5000 0.2465  6 Ge 3.51-3.56, 2 Pd 3.51, 9 Ga 3.56-3.82
2 Ba 0.5000 0.0000 0.7535  6 Ge 3.51-3.56, 2 Pd 3.51, 9 Ga 3.56-3.82
3 Ga 0.0000 0.0000 0.5000  4 Ge 2.72
4 Ga 0.0000 0.5000 0.8863  3 Ge 2.63-2.71, 2 Pd 2.63
5 Ga 0.5000 0.0000 0.1137  3 Ge 2.63-2.71, 2 Pd 2.63
6 Ga 0.5000 0.5000 0.5000  4 Ge 2.72
7 Ge 0.0000 0.0000 0.0000  4 Ga 2.63
8 Ge 0.0000 0.5000 0.6300  5 Ga 2.71-2.72
9 Ge 0.5000 0.0000 0.3700  5 Ga 2.71-2.72
10 Pd 0.5000 0.5000 0.0000  4 Ga 2.63

Entry from the Alexandria database: BaGaGe2Pd after structural relaxation (PBE).

Results
Energy in eV/cell: -22.05

Cell lengths 6.3239, 6.3239, 6.3239 Å; angles 138.23, 138.23, 60.55 degrees
With the nearest neighbours (Å) after each atom.
Positions (direct):
1 Ba 0.0000 0.0000 0.0000  8 Ge 3.47, 4 Pd 3.54, 4 Ga 3.54
2 Ga 0.7500 0.2500 0.5000  4 Ge 2.64
3 Ge 0.3756 0.3756 0.0000  2 Pd 2.64, 2 Ga 2.64, 1 Ge 2.72
4 Ge 0.6244 0.6244 0.0000  2 Pd 2.64, 2 Ga 2.64, 1 Ge 2.72
5 Pd 0.2500 0.7500 0.5000  4 Ge 2.64

Entry from the Alexandria database: Ba2GaGe3Pt4 after structural relaxation (PBE).

Results
Energy in eV/cell: -52.57

Cell lengths 4.5499, 4.5499, 10.3641 Å; angles 90.00, 90.00, 90.00 degrees
With the nearest neighbours (Å) after each atom.
Positions (direct):
1 Ba 0.0000 0.5000 0.2472  6 Ge 3.43-3.50, 2 Ga 3.43, 9 Pt 3.47-3.83
2 Ba 0.5000 0.0000 0.7528  6 Ge 3.43-3.50, 2 Ga 3.43, 9 Pt 3.47-3.83
3 Ga 0.5000 0.5000 0.0000  4 Pt 2.60
4 Ge 0.0000 0.0000 0.0000  4 Pt 2.60
5 Ge 0.0000 0.5000 0.6205  5 Pt 2.60-2.67
6 Ge 0.5000 0.0000 0.3795  5 Pt 2.60-2.67
7 Pt 0.0000 0.0000 0.5000  4 Ge 2.60
8 Pt 0.0000 0.5000 0.8776  3 Ge 2.60-2.67, 2 Ga 2.60
9 Pt 0.5000 0.0000 0.1224  3 Ge 2.60-2.67, 2 Ga 2.60
10 Pt 0.5000 0.5000 0.5000  4 Ge 2.60

Entry from the Alexandria database: RbBaGa2Ge after structural relaxation (PBE).

Results
Energy in eV/cell: -10.53

Cell lengths 6.2616, 6.2616, 5.9204 Å; angles 90.00, 90.00, 90.00 degrees
With the nearest neighbours (Å) after each atom.
Positions (direct):
1 Rb 0.0000 0.0000 0.0000  8 Ga 4.31, 4 Ge 4.43
2 Ba 0.5000 0.5000 0.5000  2 Ge 2.96, 4 Ga 3.13
3 Ga 0.0000 0.5000 0.5000  2 Ba 3.13
4 Ga 0.5000 0.0000 0.5000  2 Ba 3.13
5 Ge 0.5000 0.5000 0.0000  2 Ba 2.96

Entry from the Alexandria database: BaGaReGe2 after structural relaxation (PBE).

Results
Energy in eV/cell: -27.48

Cell lengths 4.9107, 4.9107, 4.9538 Å; angles 90.00, 90.00, 90.00 degrees
With the nearest neighbours (Å) after each atom.
Positions (direct):
1 Ba 0.0000 0.0000 0.0000  4 Ga 3.47, 8 Ge 3.49
2 Ga 0.5000 0.5000 0.0000  2 Re 2.48
3 Re 0.5000 0.5000 0.5000  4 Ge 2.46, 2 Ga 2.48
4 Ge 0.0000 0.5000 0.5000  2 Re 2.46
5 Ge 0.5000 0.0000 0.5000  2 Re 2.46

Entry from the Alexandria database: BaGaGe2Rh after structural relaxation (PBE).

Results
Energy in eV/cell: -21.25

Cell lengths 5.0547, 5.0547, 4.8446 Å; angles 90.00, 90.00, 90.00 degrees
With the nearest neighbours (Å) after each atom.
Positions (direct):
1 Ba 0.0000 0.0000 0.0000  8 Ge 3.50, 4 Rh 3.57
2 Ga 0.5000 0.5000 0.5000  2 Rh 2.42, 4 Ge 2.53
3 Ge 0.0000 0.5000 0.5000  2 Ga 2.53
4 Ge 0.5000 0.0000 0.5000  2 Ga 2.53
5 Rh 0.5000 0.5000 0.0000  2 Ga 2.42

Entry from the Alexandria database: BaGa2GeRh after structural relaxation (PBE).

Results
Energy in eV/cell: -21.78

Cell lengths 4.8868, 4.8868, 4.9673 Å; angles 90.00, 90.00, 90.00 degrees
With the nearest neighbours (Å) after each atom.
Positions (direct):
1 Ba 0.0000 0.0000 0.0000  4 Ge 3.46, 8 Ga 3.48
2 Ga 0.0000 0.5000 0.5000  2 Rh 2.44
3 Ga 0.5000 0.0000 0.5000  2 Rh 2.44
4 Ge 0.5000 0.5000 0.0000  2 Rh 2.48
5 Rh 0.5000 0.5000 0.5000  4 Ga 2.44, 2 Ge 2.48

Entry from the Alexandria database: BaGa2GeRu2 after structural relaxation (PBE).

Results
Energy in eV/cell: -32.30

Cell lengths 4.5834, 4.5834, 6.2745 Å; angles 90.00, 90.00, 90.00 degrees
With the nearest neighbours (Å) after each atom.
Positions (direct):
1 Ba 0.0000 0.0000 0.0000  2 Ge 3.14
2 Ga 0.5000 0.5000 0.2606  4 Ru 2.74, 1 Ga 3.00
3 Ga 0.5000 0.5000 0.7394  4 Ru 2.74, 1 Ga 3.00
4 Ge 0.0000 0.0000 0.5000  4 Ru 2.29
5 Ru 0.0000 0.5000 0.5000  2 Ge 2.29
6 Ru 0.5000 0.0000 0.5000  2 Ge 2.29

Entry from the Alexandria database: BaGaGe2S6 after structural relaxation (PBE).

Results
Energy relative to the elements, uncorrected in meV/atom: -721

Cell lengths 9.1424, 9.1424, 7.2508 Å; angles 105.48, 105.48, 95.90 degrees
With the nearest neighbours (Å) after each atom.
Positions (direct):
1 Ba 0.1603 0.8397 0.7500  8 S 3.20-3.58
2 Ba 0.8397 0.1603 0.2500  8 S 3.20-3.58
3 Ga 0.3071 0.6929 0.2500  4 S 2.30
4 Ga 0.6929 0.3071 0.7500  4 S 2.30
5 Ge 0.1479 0.3265 0.8452  4 S 2.24-2.35
6 Ge 0.3265 0.1479 0.3452  4 S 2.24-2.35
7 Ge 0.6735 0.8521 0.6548  4 S 2.24-2.35
8 Ge 0.8521 0.6735 0.1548  4 S 2.24-2.35
9 S 0.0813 0.6072 0.3040  1 Ga 2.30, 1 Ge 2.31
10 S 0.1453 0.1826 0.0698  2 Ge 2.35
11 S 0.1826 0.1453 0.5698  2 Ge 2.35
12 S 0.3175 0.5487 0.9421  1 Ge 2.24, 1 Ga 2.30
13 S 0.3928 0.9187 0.1960  1 Ga 2.30, 1 Ge 2.31
14 S 0.4513 0.6825 0.5579  1 Ge 2.24, 1 Ga 2.30
15 S 0.5487 0.3175 0.4421  1 Ge 2.24, 1 Ga 2.30
16 S 0.6072 0.0813 0.8040  1 Ga 2.30, 1 Ge 2.31
17 S 0.6825 0.4513 0.0579  1 Ge 2.24, 1 Ga 2.30
18 S 0.8174 0.8547 0.4302  2 Ge 2.35
19 S 0.8547 0.8174 0.9302  2 Ge 2.35
20 S 0.9187 0.3928 0.6960  1 Ga 2.30, 1 Ge 2.31

Entry from the Alexandria database: BaSrGaGe after structural relaxation (PBE).

Results
Energy in eV/cell: -12.67

Cell lengths 5.6371, 5.6371, 5.6371 Å; angles 60.00, 60.00, 60.00 degrees
With the nearest neighbours (Å) after each atom.
Positions (direct):
1 Ba 0.0000 0.0000 0.0000  4 Ge 3.45, 4 Ga 3.45
2 Sr 0.5000 0.5000 0.5000  4 Ge 3.45, 4 Ga 3.45
3 Ga 0.2500 0.2500 0.2500  4 Ba 3.45, 4 Sr 3.45
4 Ge 0.7500 0.7500 0.7500  4 Ba 3.45, 4 Sr 3.45

Entry from the Alexandria database: BaSrGaGe after structural relaxation (PBE).

Results
Energy in eV/cell: -13.31

Cell lengths 4.3777, 6.6861, 6.6861 Å; angles 42.49, 90.00, 90.00 degrees
With the nearest neighbours (Å) after each atom.
Positions (direct):
1 Ba 0.0000 0.0000 0.0000  4 Ge 3.43, 3 Ga 3.56-3.63
2 Sr 0.5000 0.2763 0.2763  4 Ga 3.37, 2 Ge 3.41
3 Ga 0.0000 0.7089 0.7089  2 Ge 2.68
4 Ge 0.5000 0.5843 0.5843  2 Ga 2.68

Entry from the Alexandria database: Ba2GaGeTe5 after structural relaxation (PBE).

Results
Energy relative to the elements, uncorrected in meV/atom: -866

Cell lengths 10.7861, 10.7861, 13.3998 Å; angles 90.00, 90.00, 155.87 degrees
With the nearest neighbours (Å) after each atom.
Positions (direct):
1 Ba 0.1123 0.8877 0.5000  8 Te 3.48-3.83
2 Ba 0.1233 0.8767 0.1156  7 Te 3.48-3.64
3 Ba 0.8767 0.1233 0.6156  7 Te 3.48-3.64
4 Ba 0.8877 0.1123 0.0000  8 Te 3.48-3.83
5 Ga 0.4286 0.5714 0.2619  4 Te 2.64-2.73
6 Ga 0.5714 0.4286 0.7619  4 Te 2.64-2.73
7 Ge 0.2261 0.7739 0.8405  3 Te 2.71-2.94
8 Ge 0.7739 0.2261 0.3405  3 Te 2.71-2.94
9 Te 0.0488 0.9512 0.8704  2 Ga 2.72
10 Te 0.2774 0.7226 0.4812  2 Ge 2.94
11 Te 0.3071 0.6929 0.1927  1 Ga 2.73
12 Te 0.3528 0.6472 0.8099  1 Ge 2.71
13 Te 0.4970 0.5030 0.0968  1 Ga 2.64
14 Te 0.5030 0.4970 0.5968  1 Ga 2.64
15 Te 0.6472 0.3528 0.3099  1 Ge 2.71
16 Te 0.6929 0.3071 0.6927  1 Ga 2.73
17 Te 0.7226 0.2774 0.9812  2 Ge 2.94
18 Te 0.9512 0.0488 0.3704  2 Ga 2.72